Material: InAgAu2
Method: DFT, SCAN
State: PBEsol geometry

Values from the calculation:
The energy relative to the elements is -0.11 eV/atom. As for the space group: F-43m.

abc: 4.651 4.651 4.651
angles: 60.00 60.00 60.00
Positions (direct):
In (0.000, 0.000, 0.000)
Ag (0.250, 0.250, 0.250)
Au (0.500, 0.500, 0.500)
Au (0.750, 0.750, 0.750)

Material: InAgAu2
Method: DFT, SCAN
State: PBEsol geometry

Values from the calculation:
The energy relative to the elements is -0.02 eV/atom. As for the space group: R-3m.

abc: 9.331 9.331 9.331
angles: 18.62 18.62 18.62
Positions (direct):
In (0.000, 0.000, 0.000)
Ag (0.500, 0.500, 0.500)
Au (0.248, 0.248, 0.248)
Au (0.752, 0.752, 0.752)

Material: InAg2Au2
Method: DFT, SCAN
State: PBEsol geometry

Values from the calculation:
The energy relative to the elements is -0.01 eV/atom. As for the space group: I4/mmm.

abc: 7.356 7.356 7.356
angles: 150.23 150.23 42.61
Positions (direct):
In (0.000, 0.000, 0.000)
Ag (0.250, 0.750, 0.500)
Ag (0.750, 0.250, 0.500)
Au (0.401, 0.401, 0.000)
Au (0.599, 0.599, 0.000)

Material: InAg2Au2
Method: DFT, SCAN
State: PBEsol geometry

Values from the calculation:
The energy relative to the elements is -0.08 eV/atom. As for the space group: P4/mbm.

abc: 7.247 7.247 3.547
angles: 90.00 90.00 90.00
Positions (direct):
In (0.000, 0.000, 0.000)
In (0.500, 0.500, 0.000)
Ag (0.158, 0.342, 0.500)
Ag (0.342, 0.842, 0.500)
Ag (0.658, 0.158, 0.500)
Ag (0.842, 0.658, 0.500)
Au (0.139, 0.639, 0.000)
Au (0.361, 0.139, 0.000)
Au (0.639, 0.861, 0.000)
Au (0.861, 0.361, 0.000)

Material: InAgAu2
Method: DFT, SCAN
State: PBEsol geometry

Values from the calculation:
The energy relative to the elements is -0.16 eV/atom. As for the space group: I-4m2.

abc: 5.139 5.139 5.139
angles: 133.18 133.18 68.37
Positions (direct):
In (0.000, 0.000, 0.000)
Ag (0.750, 0.250, 0.500)
Au (0.250, 0.750, 0.500)
Au (0.500, 0.500, 0.000)

Material: In2AgAu
Method: DFT, SCAN
State: PBEsol geometry

Values from the calculation:
The energy relative to the elements is 0.05 eV/atom. As for the space group: F-43m.

abc: 4.849 4.849 4.849
angles: 60.00 60.00 60.00
Positions (direct):
In (0.000, 0.000, 0.000)
In (0.250, 0.250, 0.250)
Ag (0.750, 0.750, 0.750)
Au (0.500, 0.500, 0.500)

Material: InAgAu2
Method: DFT, SCAN
State: PBEsol geometry

Values from the calculation:
The energy relative to the elements is -0.15 eV/atom. As for the space group: Cmmm.

abc: 4.254 4.254 3.921
angles: 90.00 90.00 90.09
Positions (direct):
In (0.000, 0.000, 0.000)
Ag (0.500, 0.500, 0.000)
Au (0.000, 0.500, 0.500)
Au (0.500, 0.000, 0.500)

Material: InAgAu4
Method: DFT, SCAN
State: PBEsol geometry

Values from the calculation:
The energy relative to the elements is -0.04 eV/atom. As for the space group: F-43m.

abc: 5.433 5.433 5.433
angles: 60.00 60.00 60.00
Positions (direct):
In (0.000, 0.000, 0.000)
Ag (0.250, 0.250, 0.250)
Au (0.126, 0.625, 0.625)
Au (0.625, 0.126, 0.625)
Au (0.625, 0.625, 0.126)
Au (0.625, 0.625, 0.625)

Material: InAgAu2
Method: DFT, SCAN
State: PBEsol geometry

Values from the calculation:
The energy relative to the elements is -0.15 eV/atom. As for the space group: I4/mmm.

abc: 5.074 5.074 5.074
angles: 131.92 131.92 70.36
Positions (direct):
In (0.000, 0.000, 0.000)
Ag (0.500, 0.500, 0.000)
Au (0.250, 0.750, 0.500)
Au (0.750, 0.250, 0.500)

Material: InAg2Au
Method: DFT, SCAN
State: PBEsol geometry

Values from the calculation:
The energy relative to the elements is -0.06 eV/atom. As for the space group: Cmmm.

abc: 5.076 5.076 2.948
angles: 90.00 90.00 110.81
Positions (direct):
In (0.000, 0.000, 0.000)
Ag (0.000, 0.500, 0.500)
Ag (0.500, 0.000, 0.500)
Au (0.500, 0.500, 0.000)

Material: In2AgAu
Method: DFT, SCAN
State: PBEsol geometry

Values from the calculation:
The energy relative to the elements is -0.06 eV/atom. As for the space group: Pmmm.

abc: 3.633 3.774 5.792
angles: 90.00 90.00 90.00
Positions (direct):
In (0.000, 0.000, 0.248)
In (0.000, 0.000, 0.752)
Ag (0.500, 0.500, 0.500)
Au (0.500, 0.500, 0.000)

Material: InAg2Au
Method: DFT, SCAN
State: PBEsol geometry

Values from the calculation:
The energy relative to the elements is -0.04 eV/atom. As for the space group: P2/m.

abc: 2.905 4.822 5.124
angles: 90.00 94.91 90.00
Positions (direct):
In (0.000, 0.000, 0.000)
Ag (0.249, 0.500, 0.747)
Ag (0.751, 0.500, 0.253)
Au (0.500, 0.000, 0.500)